(1)
The following is a PBE-GGA calculation of a relaxed structure of Pr3Dy2YTe6, from the Alexandria database.

The value obtained for the total DFT energy (no corrections) is -5.44 eV/atom. The value obtained for the uncorrected formation energy is -1.37 eV/atom. The calculation puts the density at 7.1 g/cm3. For the density of states at the Fermi level, the calculation gives 0.5033 states/eV/atom.

The structure in CIF format:
```
data_Pr3Dy2YTe6
_chemical_formula_sum 'Pr6 Dy4 Y2 Te12'
_cell_length_a 19.4898
_cell_length_b 4.3925
_cell_length_c 9.0036
_cell_angle_alpha 90.00
_cell_angle_beta 104.74
_cell_angle_gamma 90.00
_space_group_name_H-M_alt 'C 1 2/m 1'
_space_group_IT_number 12
loop_
_space_group_symop_operation_xyz
'x,y,z'
'-x,-y,-z'
'-x,y,-z'
'x,-y,z'
'x+1/2,y+1/2,z'
'-x+1/2,-y+1/2,-z'
'-x+1/2,y+1/2,-z'
'x+1/2,-y+1/2,z'
loop_
_atom_site_label
_atom_site_fract_x
_atom_site_fract_y
_atom_site_fract_z
Pr1 0.0000 0.0000 0.0000
Pr2 0.1662 0.5000 0.3328
Dy1 0.1665 0.5000 0.8330
Y1 0.0000 0.0000 0.5000
Te1 0.0035 0.5000 0.7423
Te2 0.1638 0.0000 0.5917
Te3 0.1701 0.0000 0.0748
```

***

(2)
The following is a PBE-GGA calculation of a relaxed structure of Pr2DyY3Te6, from the Alexandria database.

The value obtained for the total DFT energy (no corrections) is -5.72 eV/atom. The value obtained for the uncorrected formation energy is -1.35 eV/atom. The calculation puts the density at 6.7 g/cm3. For the density of states at the Fermi level, the calculation gives 0.5643 states/eV/atom.

The structure in CIF format:
```
data_Pr2DyY3Te6
_chemical_formula_sum 'Pr4 Dy2 Y6 Te12'
_cell_length_a 19.3092
_cell_length_b 4.3850
_cell_length_c 8.9055
_cell_angle_alpha 90.00
_cell_angle_beta 103.55
_cell_angle_gamma 90.00
_space_group_name_H-M_alt 'C 1 2/m 1'
_space_group_IT_number 12
loop_
_space_group_symop_operation_xyz
'x,y,z'
'-x,-y,-z'
'-x,y,-z'
'x,-y,z'
'x+1/2,y+1/2,z'
'-x+1/2,-y+1/2,-z'
'-x+1/2,y+1/2,-z'
'x+1/2,-y+1/2,z'
loop_
_atom_site_label
_atom_site_fract_x
_atom_site_fract_y
_atom_site_fract_z
Pr1 0.1700 0.0000 0.3376
Dy1 0.0000 0.5000 0.0000
Y1 0.0000 0.5000 0.5000
Y2 0.1726 0.0000 0.8354
Te1 0.0040 0.0000 0.7532
Te2 0.1618 0.5000 0.5913
Te3 0.1635 0.5000 0.0731
```

***

(3)
The following is a PBE-GGA calculation of a relaxed structure of Pr3DyY2Te6, from the Alexandria database.

The value obtained for the total DFT energy (no corrections) is -5.60 eV/atom. The value obtained for the uncorrected formation energy is -1.38 eV/atom. The calculation puts the density at 6.8 g/cm3. For the density of states at the Fermi level, the calculation gives 0.5091 states/eV/atom.

The structure in CIF format:
```
data_Pr3DyY2Te6
_chemical_formula_sum 'Pr6 Dy2 Y4 Te12'
_cell_length_a 19.4900
_cell_length_b 4.3954
_cell_length_c 9.0055
_cell_angle_alpha 90.00
_cell_angle_beta 104.68
_cell_angle_gamma 90.00
_space_group_name_H-M_alt 'C 1 2/m 1'
_space_group_IT_number 12
loop_
_space_group_symop_operation_xyz
'x,y,z'
'-x,-y,-z'
'-x,y,-z'
'x,-y,z'
'x+1/2,y+1/2,z'
'-x+1/2,-y+1/2,-z'
'-x+1/2,y+1/2,-z'
'x+1/2,-y+1/2,z'
loop_
_atom_site_label
_atom_site_fract_x
_atom_site_fract_y
_atom_site_fract_z
Pr1 0.0000 0.0000 0.0000
Pr2 0.1670 0.5000 0.3333
Dy1 0.0000 0.0000 0.5000
Y1 0.1668 0.5000 0.8334
Te1 0.0030 0.5000 0.7415
Te2 0.1632 0.0000 0.5909
Te3 0.1697 0.0000 0.0754
```

***

(4)
The following is a PBE-GGA calculation of a relaxed structure of Pr2Dy3YTe6, from the Alexandria database.

The value obtained for the total DFT energy (no corrections) is -5.40 eV/atom. The value obtained for the uncorrected formation energy is -1.34 eV/atom. The calculation puts the density at 7.4 g/cm3. For the density of states at the Fermi level, the calculation gives 0.5474 states/eV/atom.

The structure in CIF format:
```
data_Pr2Dy3YTe6
_chemical_formula_sum 'Pr4 Dy6 Y2 Te12'
_cell_length_a 19.3078
_cell_length_b 4.3785
_cell_length_c 8.9089
_cell_angle_alpha 90.00
_cell_angle_beta 103.82
_cell_angle_gamma 90.00
_space_group_name_H-M_alt 'C 1 2/m 1'
_space_group_IT_number 12
loop_
_space_group_symop_operation_xyz
'x,y,z'
'-x,-y,-z'
'-x,y,-z'
'x,-y,z'
'x+1/2,y+1/2,z'
'-x+1/2,-y+1/2,-z'
'-x+1/2,y+1/2,-z'
'x+1/2,-y+1/2,z'
loop_
_atom_site_label
_atom_site_fract_x
_atom_site_fract_y
_atom_site_fract_z
Pr1 0.1695 0.0000 0.3372
Dy1 0.0000 0.5000 0.5000
Dy2 0.1719 0.0000 0.8350
Y1 0.0000 0.5000 0.0000
Te1 0.0043 0.0000 0.7517
Te2 0.1619 0.5000 0.5917
Te3 0.1643 0.5000 0.0727
```

***

(5)
The following is a PBE-GGA calculation of a relaxed structure of Pr3DyY3Te8, from the Alexandria database.

The value obtained for the total DFT energy (no corrections) is -5.65 eV/atom. The value obtained for the uncorrected formation energy is -1.42 eV/atom. The calculation puts the density at 6.3 g/cm3. For the density of states at the Fermi level, the calculation gives 0.4741 states/eV/atom.

The structure in CIF format:
```
data_Pr3DyY3Te8
_chemical_formula_sum 'Pr9 Dy3 Y9 Te24'
_cell_length_a 8.8277
_cell_length_b 8.8277
_cell_length_c 21.8391
_cell_angle_alpha 90.00
_cell_angle_beta 90.00
_cell_angle_gamma 120.00
_space_group_name_H-M_alt 'R -3 m'
_space_group_IT_number 166
_space_group_name_Hall '-R 3 2"'
loop_
_atom_site_label
_atom_site_fract_x
_atom_site_fract_y
_atom_site_fract_z
Pr1 0.0000 0.5000 0.0000
Dy1 0.0000 0.0000 0.5000
Y1 0.0000 0.5000 0.5000
Te1 0.0000 0.0000 0.2457
Te2 0.0078 0.5039 0.7524
```

***

(6)
The following is a PBE-GGA calculation of a relaxed structure of PrDy4Th3, from the Alexandria database.

The formation energy is 0.054 eV/atom. The value obtained for the total DFT energy (no corrections) is -5.63 eV/atom. The calculation puts the density at 9.6 g/cm3. For the density of states at the Fermi level, the calculation gives 1.5258 states/eV/atom.

The structure in CIF format:
```
data_PrDy4Th3
_chemical_formula_sum 'Pr2 Dy8 Th6'
_cell_length_a 7.1684
_cell_length_b 14.2408
_cell_length_c 6.1985
_cell_angle_alpha 90.00
_cell_angle_beta 125.24
_cell_angle_gamma 90.00
_space_group_name_H-M_alt 'C 1 2/m 1'
_space_group_IT_number 12
loop_
_space_group_symop_operation_xyz
'x,y,z'
'-x,-y,-z'
'-x,y,-z'
'x,-y,z'
'x+1/2,y+1/2,z'
'-x+1/2,-y+1/2,-z'
'-x+1/2,y+1/2,-z'
'x+1/2,-y+1/2,z'
loop_
_atom_site_label
_atom_site_fract_x
_atom_site_fract_y
_atom_site_fract_z
Pr1 0.0000 0.0000 0.0000
Dy1 0.0000 0.2534 0.0000
Dy2 0.0000 0.3752 0.5000
Th1 0.0000 0.1233 0.5000
Th2 0.0000 0.5000 0.0000
```

***

(7)
The following is a PBE-GGA calculation of a relaxed structure of PrDy2Th, from the Alexandria database.

The formation energy is 0.047 eV/atom. The value obtained for the total DFT energy (no corrections) is -5.30 eV/atom. The calculation puts the density at 8.9 g/cm3. For the density of states at the Fermi level, the calculation gives 1.2224 states/eV/atom.

The structure in CIF format:
```
data_PrDy2Th
_chemical_formula_sum 'Pr1 Dy2 Th1'
_cell_length_a 5.1095
_cell_length_b 5.1095
_cell_length_c 5.0080
_cell_angle_alpha 90.00
_cell_angle_beta 90.00
_cell_angle_gamma 90.00
_space_group_name_H-M_alt 'P 4/m m m'
_space_group_IT_number 123
_space_group_name_Hall '-P 4 2'
loop_
_atom_site_label
_atom_site_fract_x
_atom_site_fract_y
_atom_site_fract_z
Pr1 0.0000 0.0000 0.0000
Dy1 0.0000 0.5000 0.5000
Th1 0.5000 0.5000 0.0000
```

***

(8)
The following is a PBE-GGA calculation of a relaxed structure of PrDy2Th2, from the Alexandria database.

The formation energy is 0.034 eV/atom. The value obtained for the total DFT energy (no corrections) is -5.73 eV/atom. The calculation puts the density at 9.4 g/cm3. For the density of states at the Fermi level, the calculation gives 1.3342 states/eV/atom.

The structure in CIF format:
```
data_PrDy2Th2
_chemical_formula_sum 'Pr1 Dy2 Th2'
_cell_length_a 3.5846
_cell_length_b 3.5846
_cell_length_c 14.7024
_cell_angle_alpha 90.00
_cell_angle_beta 90.00
_cell_angle_gamma 120.00
_space_group_name_H-M_alt 'P -3 m 1'
_space_group_IT_number 164
_space_group_name_Hall '-P 3 2"'
loop_
_atom_site_label
_atom_site_fract_x
_atom_site_fract_y
_atom_site_fract_z
Pr1 0.0000 0.0000 0.0000
Dy1 0.3333 0.6667 0.7981
Th1 0.3333 0.6667 0.4016
```